ScFePb4 after structural relaxation. Source: Alexandria, functional PBE.

E = -4.3103 eV/atom
mass density = 8.72 Mg/m³

Lattice parameters (Å, degrees): 6.3025 6.3025 6.3025 60.00 60.00 60.00
Sites, in units of the cell vectors:
Sc1 0.0000 0.0000 0.0000
Fe1 0.7500 0.7500 0.7500
Pb1 0.3747 0.3747 0.3747
Pb2 0.3747 0.3747 0.8758
Pb3 0.3747 0.8758 0.3747
Pb4 0.8758 0.3747 0.3747

---

Ag2GeHS4 after structural relaxation. Source: Alexandria, functional PBE.

E = -3.6797 eV/atom
mass density = 4.98 Mg/m³

Lattice parameters (Å, degrees): 7.2475 7.2475 7.2475 118.01 116.96 94.42
Sites, in units of the cell vectors:
Ag1 0.0000 0.0000 0.0000
Ag2 0.5000 0.0000 0.0000
Ag3 0.5000 0.0000 0.5000
Ag4 0.5000 0.5000 0.5000
Ge1 0.0000 0.0000 0.5000
Ge2 0.0000 0.5000 0.0000
H1 0.0000 0.5000 0.5000
H2 0.5000 0.5000 0.0000
S1 0.1602 0.6763 0.4839
S2 0.2456 0.2026 0.4570
S3 0.2456 0.7885 0.0430
S4 0.3076 0.3237 0.9839
S5 0.6924 0.6763 0.0161
S6 0.7544 0.2115 0.9570
S7 0.7544 0.7974 0.5430
S8 0.8398 0.3237 0.5161

---

Sm4MgAl3 after structural relaxation. Source: Alexandria, functional PBE.

ΔE to the lowest computed polymorph = 60 meV/atom
E = -4.2191 eV/atom
mass density = 5.56 Mg/m³

Lattice parameters (Å, degrees): 3.6637 4.6958 12.2612 90.00 90.00 90.00
Sites, in units of the cell vectors:
Sm1 0.0000 0.0000 0.0000
Sm2 0.0000 0.5000 0.3081
Sm3 0.5000 0.0000 0.4890
Sm4 0.5000 0.5000 0.8184
Mg1 0.0000 0.0000 0.7142
Al1 0.0000 0.5000 0.5836
Al2 0.5000 0.0000 0.2188
Al3 0.5000 0.5000 0.0908

---

LiTi2P2O9 after structural relaxation. Source: Alexandria, functional PBE.

E = -7.7726 eV/atom
mass density = 2.96 Mg/m³
ΔE_f (raw) = -2.55 eV/atom

Lattice parameters (Å, degrees): 14.0781 6.3990 7.6882 90.00 90.00 90.00
Sites, in units of the cell vectors:
Li1 0.2340 0.2500 0.0428
Li2 0.2660 0.7500 0.5428
Li3 0.7340 0.2500 0.4572
Li4 0.7660 0.7500 0.9572
Ti1 0.0000 0.0000 0.0000
Ti2 0.0000 0.5000 0.0000
Ti3 0.1202 0.2500 0.6468
Ti4 0.3798 0.7500 0.1468
Ti5 0.5000 0.0000 0.5000
Ti6 0.5000 0.5000 0.5000
Ti7 0.6202 0.2500 0.8532
Ti8 0.8798 0.7500 0.3532
P1 0.0665 0.7500 0.6431
P2 0.1907 0.7500 0.1173
P3 0.3093 0.2500 0.6173
P4 0.4335 0.2500 0.1431
P5 0.5665 0.7500 0.8569
P6 0.6907 0.7500 0.3827
P7 0.8093 0.2500 0.8827
P8 0.9335 0.2500 0.3569
O1 0.0131 0.2500 0.4917
O2 0.0203 0.7500 0.8295
O3 0.0558 0.2500 0.8612
O4 0.1287 0.5496 0.1012
O5 0.1287 0.9504 0.1012
O6 0.1319 0.5594 0.6266
O7 0.1319 0.9406 0.6266
O8 0.2306 0.2500 0.4763
O9 0.2499 0.2500 0.7880
O10 0.2501 0.7500 0.2880
O11 0.2694 0.7500 0.9763
O12 0.3681 0.0594 0.1266
O13 0.3681 0.4406 0.1266
O14 0.3713 0.0496 0.6012
O15 0.3713 0.4504 0.6012
O16 0.4442 0.7500 0.3612
O17 0.4797 0.2500 0.3295
O18 0.4869 0.7500 0.9917
O19 0.5131 0.2500 0.0083
O20 0.5203 0.7500 0.6705
O21 0.5558 0.2500 0.6388
O22 0.6287 0.5496 0.3988
O23 0.6287 0.9504 0.3988
O24 0.6319 0.5594 0.8734
O25 0.6319 0.9406 0.8734
O26 0.7306 0.2500 0.0237
O27 0.7499 0.2500 0.7120
O28 0.7501 0.7500 0.2120
O29 0.7694 0.7500 0.5237
O30 0.8681 0.0594 0.3734
O31 0.8681 0.4406 0.3734
O32 0.8713 0.0496 0.8988
O33 0.8713 0.4504 0.8988
O34 0.9442 0.7500 0.1388
O35 0.9797 0.2500 0.1705
O36 0.9869 0.7500 0.5083

---

Ho2Er4Th after structural relaxation. Source: Alexandria, functional PBE.

ΔE to the lowest computed polymorph = 0 meV/atom
E = -4.9570 eV/atom
mass density = 9.37 Mg/m³

Lattice parameters (Å, degrees): 3.5648 3.5648 19.9301 95.13 95.13 60.02
Sites, in units of the cell vectors:
Ho1 0.0000 0.0000 0.0000
Ho2 0.0934 0.0934 0.2836
Er1 0.1890 0.1890 0.5665
Er2 0.2862 0.2862 0.8574
Er3 0.7131 0.7131 0.1422
Er4 0.8077 0.8077 0.4253
Th1 0.9046 0.9046 0.7118

---

Na2Sr6N after structural relaxation. Source: Alexandria, functional PBE.

ΔE to the lowest computed polymorph = 151 meV/atom
E = -2.3306 eV/atom
mass density = 2.30 Mg/m³
ΔE_f (raw) = 0.01 eV/atom

Lattice parameters (Å, degrees): 7.5511 7.5511 13.7967 94.98 94.98 32.65
Sites, in units of the cell vectors:
Na1 0.0725 0.0725 0.3494
Na2 0.9275 0.9275 0.6506
Sr1 0.1941 0.1941 0.6158
Sr2 0.3536 0.3536 0.8962
Sr3 0.4136 0.4136 0.1433
Sr4 0.5864 0.5864 0.8567
Sr5 0.6464 0.6464 0.1038
Sr6 0.8059 0.8059 0.3842
N1 0.5000 0.5000 0.0000

---

AlRh3W after structural relaxation. Source: Alexandria, functional PBE.

ΔE to the lowest computed polymorph = 231 meV/atom
E = -6.7010 eV/atom
mass density = 8.32 Mg/m³

Lattice parameters (Å, degrees): 4.6977 4.6977 4.6977 90.00 90.00 90.00
Sites, in units of the cell vectors:
Al1 0.0000 0.0000 0.0000
Rh1 0.0000 0.5000 0.5000
Rh2 0.5000 0.0000 0.5000
Rh3 0.5000 0.5000 0.0000
W1 0.5000 0.5000 0.5000

---

Sm3Ag3Pd2 after structural relaxation. Source: Alexandria, functional PBE.

E = -4.6728 eV/atom
mass density = 8.82 Mg/m³

Lattice parameters (Å, degrees): 7.4805 7.4805 3.8350 90.00 90.00 120.00
Sites, in units of the cell vectors:
Sm1 0.0000 0.5957 0.0000
Sm2 0.4043 0.4043 0.0000
Sm3 0.5957 0.0000 0.0000
Ag1 0.0000 0.2299 0.5000
Ag2 0.2299 0.0000 0.5000
Ag3 0.7701 0.7701 0.5000
Pd1 0.3333 0.6667 0.5000
Pd2 0.6667 0.3333 0.5000

---

Sc4Tl2Zn after structural relaxation. Source: Alexandria, functional PBE.

E = -4.6461 eV/atom
mass density = 6.50 Mg/m³

Lattice parameters (Å, degrees): 8.5048 8.5048 8.5048 33.51 33.51 33.51
Sites, in units of the cell vectors:
Sc1 0.1248 0.1248 0.1248
Sc2 0.3753 0.3753 0.3753
Sc3 0.6247 0.6247 0.6247
Sc4 0.8752 0.8752 0.8752
Tl1 0.2477 0.2477 0.2477
Tl2 0.7523 0.7523 0.7523
Zn1 0.0000 0.0000 0.0000

---

Ac6MgRu2 after structural relaxation. Source: Alexandria, functional PBE.

ΔE to the lowest computed polymorph = 0 meV/atom
E = -5.0893 eV/atom
mass density = 7.75 Mg/m³

Lattice parameters (Å, degrees): 7.1736 7.1736 8.8481 94.95 94.95 48.63
Sites, in units of the cell vectors:
Ac1 0.0617 0.0617 0.2242
Ac2 0.2200 0.2200 0.6284
Ac3 0.3528 0.3528 0.0809
Ac4 0.6472 0.6472 0.9191
Ac5 0.7800 0.7800 0.3716
Ac6 0.9383 0.9383 0.7758
Mg1 0.5000 0.5000 0.5000
Ru1 0.1421 0.1421 0.9069
Ru2 0.8579 0.8579 0.0931

---

YEr2TmTe6 after structural relaxation. Source: Alexandria, functional PBE.

E = -5.2420 eV/atom
mass density = 6.39 Mg/m³
ΔE_f (raw) = -1.35 eV/atom

Lattice parameters (Å, degrees): 8.2591 8.2591 8.2591 55.12 55.12 55.12
Sites, in units of the cell vectors:
Y1 0.0000 0.0000 0.0000
Er1 0.3144 0.3144 0.3144
Er2 0.8150 0.8150 0.8150
Tm1 0.4993 0.4993 0.4993
Te1 0.0929 0.7187 0.4103
Te2 0.2229 0.5904 0.9062
Te3 0.4103 0.0929 0.7187
Te4 0.5904 0.9062 0.2229
Te5 0.7187 0.4103 0.0929
Te6 0.9062 0.2229 0.5904

---

Li2ZrHg after structural relaxation. Source: Alexandria, functional PBE.

E = -2.9129 eV/atom
mass density = 6.29 Mg/m³

Lattice parameters (Å, degrees): 6.0265 6.0265 6.0265 103.16 103.16 123.00
Sites, in units of the cell vectors:
Li1 0.0916 0.1250 0.4666
Li2 0.3750 0.9084 0.0334
Li3 0.6584 0.6250 0.5334
Li4 0.8750 0.3416 0.9666
Zr1 0.2500 0.7500 0.5000
Zr2 0.5000 0.5000 0.0000
Hg1 0.0000 0.0000 0.0000
Hg2 0.7500 0.2500 0.5000